This record from Alexandria via LeMat-Bulk describes a relaxed structure of Rb2NaCd4Hg3. The functional is PBE-GGA.

Summary:
The calculation puts the total magnetization at 0.00 μB per formula unit. The uncorrected energy is -0.9071 eV per atom.

abc: 4.942 4.942 13.234
angles: 90.00 90.00 90.00
Space group P-4m2 (No. 115)
Symmetry-distinct sites (fractional):
1 Rb 0.000 0.500 0.239
2 Na 0.000 0.000 0.500
3 Cd 0.000 0.000 0.000
4 Cd 0.000 0.500 0.643
5 Cd 0.500 0.500 0.000
6 Hg 0.000 0.500 0.868
7 Hg 0.500 0.500 0.500